1.
VASP calculation (GGA-PBE) on crystalline MnSbSe2 at its relaxed geometry.

a = 3.8156 Å, b = 7.0332 Å, c = 7.6514 Å
α = 90.00°, β = 90.00°, γ = 90.00°
Closest atoms and distances in Å follow each position.
Space group Immm (No. 71)
Unique sites:
Mn 0.0000 0.0000 0.0000 x2  4 Se 2.57
Sb 0.0000 0.0000 0.5000 x2  4 Se 2.84
Se 0.0000 0.5000 0.2745 x4  2 Mn 2.57, 2 Sb 2.84

Magnetization ... 1.165 μB per atom
Fermi-level density of states ... 0.380 states/eV per atom
ΔE_f (raw) ... 0.052 eV per atom



2.
VASP calculation (GGA-PBE) on crystalline MnSn2SbSe5 at its relaxed geometry.

a = 4.0909 Å, b = 17.9984 Å, c = 12.9755 Å
α = 90.00°, β = 90.00°, γ = 90.00°
Closest atoms and distances in Å follow each position.
Space group Cmc2_1 (No. 36)
Unique sites:
Mn 0.0000 0.0322 0.0000 x4  5 Se 2.45-2.59
Sn 0.0000 0.3749 0.8299 x4  3 Se 2.82-3.02
Sn 0.0000 0.3907 0.2176 x4  3 Se 2.86-2.88
Sb 0.0000 0.2861 0.5477 x4  5 Se 2.67-2.90
Se 0.0000 0.0175 0.3242 x4  1 Mn 2.45
Se 0.0000 0.1000 0.5619 x4  1 Mn 2.51
Se 0.0000 0.1546 0.9118 x4  1 Mn 2.48
Se 0.0000 0.2321 0.2003 x4  1 Sn 2.86, 2 Sb 2.87
Se 0.0000 0.4276 0.6086 x4  2 Mn 2.59, 1 Sb 2.67

Magnetization ... 0.443 μB per atom
Fermi-level density of states ... 0.085 states/eV per atom
ΔE_f (raw) ... -0.351 eV per atom



3.
VASP calculation (GGA-PBE) on crystalline MnSb2TeSe at its relaxed geometry.

a = 5.3726 Å, b = 5.3726 Å, c = 5.3356 Å
α = 90.00°, β = 90.00°, γ = 90.00°
Closest atoms and distances in Å follow each position.
Space group P4/mmm (No. 123)
Unique sites:
Mn 0.0000 0.0000 0.0000 x1  8 Sb 3.79, 4 Te 3.80
Sb 0.0000 0.5000 0.5000 x2  2 Se 2.69
Te 0.5000 0.5000 0.0000 x1  2 Se 2.67
Se 0.5000 0.5000 0.5000 x1  2 Te 2.67, 4 Sb 2.69

Magnetization ... 0.069 μB per atom
Fermi-level density of states ... 1.201 states/eV per atom
E above lowest polymorph ... 1018 meV/atom
ΔE_f (raw) ... 1.364 eV per atom



4.
VASP calculation (GGA-PBE) on crystalline MnSbTe2Se at its relaxed geometry.

a = 4.9444 Å, b = 4.9444 Å, c = 5.1150 Å
α = 90.00°, β = 90.00°, γ = 90.00°
Closest atoms and distances in Å follow each position.
Space group P4/mmm (No. 123)
Unique sites:
Mn 0.0000 0.0000 0.0000 x1  4 Te 2.47, 2 Sb 2.56
Sb 0.0000 0.0000 0.5000 x1  2 Mn 2.56
Te 0.0000 0.5000 0.0000 x2  2 Mn 2.47
Se 0.5000 0.5000 0.5000 x1  4 Sb 3.50, 8 Te 3.56

Magnetization ... 0.000 μB per atom
Fermi-level density of states ... 1.497 states/eV per atom
E above lowest polymorph ... 0 meV/atom
ΔE_f (raw) ... 0.443 eV per atom